# GGA-PBE SmMn2Tl3Te6, optimized geometry
# **Total energy**: -4.548 eV per atom
data_SmMn2Tl3Te6
_space_group_name_H-M_alt 'C 1 2/m 1'
_space_group_IT_number 12
_cell_length_a 7.4209
_cell_length_b 12.6772
_cell_length_c 8.3857
_cell_angle_alpha 90.00
_cell_angle_beta 106.97
_cell_angle_gamma 90.00
loop_
_space_group_symop_operation_xyz
'x,y,z'
'-x,-y,-z'
'-x,y,-z'
'x,-y,z'
'x+1/2,y+1/2,z'
'-x+1/2,-y+1/2,-z'
'-x+1/2,y+1/2,-z'
'x+1/2,-y+1/2,z'
loop_
_atom_site_label
_atom_site_type_symbol
_atom_site_fract_x
_atom_site_fract_y
_atom_site_fract_z
Sm1 Sm 0.0000 0.0000 0.0000
Mn1 Mn 0.0000 0.3305 0.0000
Tl1 Tl 0.0000 0.1522 0.5000
Tl2 Tl 0.0000 0.5000 0.5000
Te1 Te 0.1968 0.5000 0.1914
Te2 Te 0.2490 0.1826 0.2048

# GGA-PBE SmMnTl2Te4, optimized geometry
# **Total energy**: -4.485 eV per atom
data_SmMnTl2Te4
_space_group_name_H-M_alt 'P 1 2/m 1'
_space_group_IT_number 10
_cell_length_a 7.6256
_cell_length_b 4.3306
_cell_length_c 8.3468
_cell_angle_alpha 90.00
_cell_angle_beta 107.55
_cell_angle_gamma 90.00
loop_
_space_group_symop_operation_xyz
'x,y,z'
'-x,-y,-z'
'-x,y,-z'
'x,-y,z'
loop_
_atom_site_label
_atom_site_type_symbol
_atom_site_fract_x
_atom_site_fract_y
_atom_site_fract_z
Sm1 Sm 0.0000 0.0000 0.0000
Mn1 Mn 0.5000 0.5000 0.0000
Tl1 Tl 0.0000 0.5000 0.5000
Tl2 Tl 0.5000 0.0000 0.5000
Te1 Te 0.2558 0.5000 0.2169
Te2 Te 0.2924 0.0000 0.8031

# GGA-PBE SmThMn4, optimized geometry
# **Calculated formation energy**: 0.14 eV per atom
data_SmThMn4
_space_group_name_H-M_alt 'F -4 3 m'
_space_group_IT_number 216
_space_group_name_Hall 'F -4 2 3'
_cell_length_a 7.4292
_cell_length_b 7.4292
_cell_length_c 7.4292
_cell_angle_alpha 90.00
_cell_angle_beta 90.00
_cell_angle_gamma 90.00
loop_
_atom_site_label
_atom_site_type_symbol
_atom_site_fract_x
_atom_site_fract_y
_atom_site_fract_z
Sm1 Sm 0.0000 0.0000 0.0000
Th1 Th 0.2500 0.2500 0.7500
Mn1 Mn 0.1251 0.1251 0.3749

# GGA-PBE SmThMn, optimized geometry
# **Calculated formation energy**: 0.20 eV per atom
data_SmThMn
_space_group_name_H-M_alt 'A m m 2'
_space_group_IT_number 38
_cell_length_a 5.0741
_cell_length_b 12.4245
_cell_length_c 7.1814
_cell_angle_alpha 90.00
_cell_angle_beta 90.00
_cell_angle_gamma 90.00
loop_
_space_group_symop_operation_xyz
'x,y,z'
'-x,-y,z'
'-x,y,z'
'x,-y,z'
'x,y+1/2,z+1/2'
'-x,-y+1/2,z+1/2'
'-x,y+1/2,z+1/2'
'x,-y+1/2,z+1/2'
loop_
_atom_site_label
_atom_site_type_symbol
_atom_site_fract_x
_atom_site_fract_y
_atom_site_fract_z
Sm1 Sm 0.0000 0.0000 0.0000
Sm2 Sm 0.0000 0.1997 0.4013
Th1 Th 0.5000 0.0000 0.3065
Th2 Th 0.5000 0.1471 0.7478
Mn1 Mn 0.0000 0.0000 0.6012
Mn2 Mn 0.5000 0.1667 0.1003

# GGA-PBE SmThMnZn, optimized geometry
# **Calculated formation energy**: 0.03 eV per atom
data_SmThMnZn
_space_group_name_H-M_alt 'F -4 3 m'
_space_group_IT_number 216
_space_group_name_Hall 'F -4 2 3'
_cell_length_a 7.2423
_cell_length_b 7.2423
_cell_length_c 7.2423
_cell_angle_alpha 90.00
_cell_angle_beta 90.00
_cell_angle_gamma 90.00
loop_
_atom_site_label
_atom_site_type_symbol
_atom_site_fract_x
_atom_site_fract_y
_atom_site_fract_z
Sm1 Sm 0.0000 0.0000 0.0000
Th1 Th 0.0000 0.0000 0.5000
Mn1 Mn 0.2500 0.2500 0.2500
Zn1 Zn 0.2500 0.2500 0.7500

# GGA-PBE Sm2TmMn, optimized geometry
# **ΔE to the lowest computed polymorph**: 362 meV/atom
# **Calculated formation energy**: 0.53 eV per atom
data_Sm2TmMn
_space_group_name_H-M_alt 'R -3 m'
_space_group_IT_number 166
_space_group_name_Hall '-R 3 2"'
_cell_length_a 3.4083
_cell_length_b 3.4083
_cell_length_c 34.5561
_cell_angle_alpha 90.00
_cell_angle_beta 90.00
_cell_angle_gamma 120.00
loop_
_atom_site_label
_atom_site_type_symbol
_atom_site_fract_x
_atom_site_fract_y
_atom_site_fract_z
Sm1 Sm 0.0000 0.0000 0.0824
Tm1 Tm 0.0000 0.0000 0.5000
Mn1 Mn 0.0000 0.0000 0.0000

# GGA-PBE SmTm2Mn, optimized geometry
# **ΔE to the lowest computed polymorph**: 413 meV/atom
# **Calculated formation energy**: 0.52 eV per atom
data_SmTm2Mn
_space_group_name_H-M_alt 'R -3 m'
_space_group_IT_number 166
_space_group_name_Hall '-R 3 2"'
_cell_length_a 3.3806
_cell_length_b 3.3806
_cell_length_c 33.7553
_cell_angle_alpha 90.00
_cell_angle_beta 90.00
_cell_angle_gamma 120.00
loop_
_atom_site_label
_atom_site_type_symbol
_atom_site_fract_x
_atom_site_fract_y
_atom_site_fract_z
Sm1 Sm 0.0000 0.0000 0.0000
Tm1 Tm 0.0000 0.0000 0.4190
Mn1 Mn 0.0000 0.0000 0.5000

# GGA-PBE Sm2TmMn, optimized geometry
# **ΔE to the lowest computed polymorph**: 0 meV/atom
# **Calculated formation energy**: 0.16 eV per atom
data_Sm2TmMn
_space_group_name_H-M_alt 'P 4/m m m'
_space_group_IT_number 123
_space_group_name_Hall '-P 4 2'
_cell_length_a 3.5857
_cell_length_b 3.5857
_cell_length_c 8.6925
_cell_angle_alpha 90.00
_cell_angle_beta 90.00
_cell_angle_gamma 90.00
loop_
_atom_site_label
_atom_site_type_symbol
_atom_site_fract_x
_atom_site_fract_y
_atom_site_fract_z
Sm1 Sm 0.0000 0.0000 0.2101
Tm1 Tm 0.5000 0.5000 0.5000
Mn1 Mn 0.5000 0.5000 0.0000

# GGA-PBE SmTm2Mn, optimized geometry
# **ΔE to the lowest computed polymorph**: 0 meV/atom
# **Calculated formation energy**: 0.10 eV per atom
data_SmTm2Mn
_space_group_name_H-M_alt 'P 4/m m m'
_space_group_IT_number 123
_space_group_name_Hall '-P 4 2'
_cell_length_a 3.4461
_cell_length_b 3.4461
_cell_length_c 8.8972
_cell_angle_alpha 90.00
_cell_angle_beta 90.00
_cell_angle_gamma 90.00
loop_
_atom_site_label
_atom_site_type_symbol
_atom_site_fract_x
_atom_site_fract_y
_atom_site_fract_z
Sm1 Sm 0.0000 0.0000 0.0000
Tm1 Tm 0.5000 0.5000 0.3069
Mn1 Mn 0.0000 0.0000 0.5000

# GGA-PBE SmTmMn4, optimized geometry
# **Calculated formation energy**: 0.18 eV per atom
data_SmTmMn4
_space_group_name_H-M_alt 'F -4 3 m'
_space_group_IT_number 216
_space_group_name_Hall 'F -4 2 3'
_cell_length_a 7.2312
_cell_length_b 7.2312
_cell_length_c 7.2312
_cell_angle_alpha 90.00
_cell_angle_beta 90.00
_cell_angle_gamma 90.00
loop_
_atom_site_label
_atom_site_type_symbol
_atom_site_fract_x
_atom_site_fract_y
_atom_site_fract_z
Sm1 Sm 0.0000 0.0000 0.0000
Tm1 Tm 0.2500 0.2500 0.7500
Mn1 Mn 0.1247 0.1247 0.3753

# GGA-PBE SmTm3Mn, optimized geometry
# **Calculated formation energy**: 0.20 eV per atom
data_SmTm3Mn
_space_group_name_H-M_alt 'P m -3 m'
_space_group_IT_number 221
_space_group_name_Hall '-P 4 2 3'
_cell_length_a 5.2502
_cell_length_b 5.2502
_cell_length_c 5.2502
_cell_angle_alpha 90.00
_cell_angle_beta 90.00
_cell_angle_gamma 90.00
loop_
_atom_site_label
_atom_site_type_symbol
_atom_site_fract_x
_atom_site_fract_y
_atom_site_fract_z
Sm1 Sm 0.0000 0.0000 0.0000
Tm1 Tm 0.0000 0.5000 0.5000
Mn1 Mn 0.5000 0.5000 0.5000

# GGA-PBE SmTmMnZn, optimized geometry
# **Calculated formation energy**: -0.03 eV per atom
data_SmTmMnZn
_space_group_name_H-M_alt 'F -4 3 m'
_space_group_IT_number 216
_space_group_name_Hall 'F -4 2 3'
_cell_length_a 7.1164
_cell_length_b 7.1164
_cell_length_c 7.1164
_cell_angle_alpha 90.00
_cell_angle_beta 90.00
_cell_angle_gamma 90.00
loop_
_atom_site_label
_atom_site_type_symbol
_atom_site_fract_x
_atom_site_fract_y
_atom_site_fract_z
Sm1 Sm 0.0000 0.0000 0.0000
Tm1 Tm 0.0000 0.0000 0.5000
Mn1 Mn 0.2500 0.2500 0.2500
Zn1 Zn 0.2500 0.2500 0.7500